Material: Fe5O3F7
Method: DFT, PBE with a Hubbard U
State: optimized geometry

Summary:
Total moment ... 9.00 μB per formula unit
Space-group type ... No. 5
Distance to the lowest polymorph of the same formula ... 114.6 meV per atom

Cell lengths 4.7477, 4.7477, 15.6533 Å; angles 90.36, 90.36, 88.78 degrees
With the nearest neighbours (Å) after each atom.
Fractional coordinates of all 30 atoms:
Fe 0.9726 0.9586 0.3953  2 O 2.01-2.04, 4 F 2.11-2.23
Fe 0.0414 0.0274 0.6047  2 O 2.01-2.04, 4 F 2.11-2.23
Fe 0.0300 0.9673 0.7977  2 O 1.89, 2 F 2.04-2.06
Fe 0.0256 0.9744 0.0000  2 O 1.91, 2 F 2.00
Fe 0.0327 0.9700 0.2023  2 O 1.89, 2 F 2.04-2.06
Fe 0.5037 0.4963 0.5000  2 O 1.96, 4 F 1.99-2.07
Fe 0.4867 0.5102 0.8977  1 O 2.01, 5 F 2.07-2.14
Fe 0.4830 0.5156 0.6942  2 O 1.85-1.86, 2 F 2.03-2.06
Fe 0.4898 0.5133 0.1023  1 O 2.01, 5 F 2.07-2.14
Fe 0.4844 0.5170 0.3058  2 O 1.85-1.86, 2 F 2.03-2.06
O 0.2085 0.7953 0.7028  3 Fe 1.85-2.04
O 0.1843 0.8118 0.8990  3 Fe 1.89-2.01
O 0.1882 0.8157 0.1010  3 Fe 1.89-2.01
O 0.2047 0.7915 0.2972  3 Fe 1.85-2.04
O 0.3308 0.3305 0.6004  3 Fe 1.86-2.01
O 0.6695 0.6692 0.3996  3 Fe 1.86-2.01
F 0.2038 0.7962 0.5000  3 Fe 1.99-2.11
F 0.2926 0.2938 0.4018  3 Fe 2.07-2.23
F 0.2943 0.3012 0.7931  3 Fe 2.04-2.12
F 0.2876 0.2985 0.0000  3 Fe 2.00-2.13
F 0.2996 0.3073 0.2078  3 Fe 2.03-2.14
F 0.7062 0.7074 0.5982  3 Fe 2.07-2.23
F 0.6927 0.7004 0.7922  3 Fe 2.03-2.14
F 0.7015 0.7124 0.0000  3 Fe 2.00-2.13
F 0.6988 0.7057 0.2069  3 Fe 2.04-2.12
F 0.8033 0.1967 0.5000  3 Fe 1.99-2.14
F 0.7989 0.1982 0.9002  3 Fe 2.07-2.22
F 0.7945 0.2117 0.7088  3 Fe 2.06-2.18
F 0.7883 0.2055 0.2912  3 Fe 2.06-2.18
F 0.8018 0.2011 0.0998  3 Fe 2.07-2.22